First-principles (PBE) data for crystalline SmGa4Ni at its relaxed geometry, as listed in the Open Quantum Materials Database.

```
SmGa4Ni
1.0
2.0634 -7.6998 0.0000
2.0634 7.6998 0.0000
0.0000 0.0000 6.5762
Sm Ga Ni
2 8 2
Cartesian
2.0634 5.8876 4.9322 Sm
2.0634 -5.8876 1.6441 Sm
2.0634 6.5798 1.6441 Ga
2.0634 2.8599 3.6325 Ga
2.0634 2.8599 6.2318 Ga
2.0634 0.0000 0.0000 Ga
2.0634 0.0000 3.2881 Ga
2.0634 -2.8599 0.3444 Ga
2.0634 -2.8599 2.9437 Ga
2.0634 -6.5798 4.9322 Ga
2.0634 4.2385 1.6441 Ni
2.0634 -4.2385 4.9322 Ni
```

The calculation puts the uncorrected energy at -4.2833 eV/atom. For the density, the calculation gives 7.75 g/cm³. Its total moment is 0.0 Bohr magnetons per cell.